{"formula": "LiMgRh2", "functional": "PBEsol", "state": "optimized geometry", "energy_ev_per_atom": -4.984, "spacegroup": "R3m, No. 160", "m_tot_mub_per_fu": 0.000, "rho_g_cm3": 6.60, "cell": [[2.7547, 0.0000, 0.0000], [1.3774, 2.3857, 0.0000], [1.3774, 0.7952, 9.0798]], "species": ["Rh", "Rh", "Mg", "Li"], "fractional_positions": [[0.7481, 0.7481, 0.7557], [0.0035, 0.0035, 0.9896], [0.2569, 0.2569, 0.2294], [0.4916, 0.4916, 0.5253]]}